This record from the Alexandria database describes an optimized crystal structure of AuSeCl7. The functional is PBEsol.

Output
**Uncorrected formation energy**: -0.32 eV per atom
**DOS at the Fermi energy**: 0.0 states/eV/cell
**Calculated volume**: 28.08 A^3/atom
**Theoretical density**: 3.4 g/cm³

Cell lengths 8.621, 9.981, 12.478 Å; angles 90.00, 109.69, 90.00 degrees
Element x y z (fractional)
Au 0.216 0.088 0.052
Au 0.784 0.588 0.448
Au 0.784 0.912 0.948
Au 0.216 0.412 0.552
Se 0.233 0.717 0.997
Se 0.767 0.217 0.503
Se 0.767 0.283 0.003
Se 0.233 0.783 0.497
Cl 0.469 0.713 0.965
Cl 0.531 0.213 0.535
Cl 0.531 0.287 0.035
Cl 0.469 0.787 0.465
Cl 0.371 0.584 0.657
Cl 0.629 0.084 0.843
Cl 0.629 0.416 0.343
Cl 0.371 0.916 0.157
Cl 0.152 0.538 0.387
Cl 0.848 0.038 0.113
Cl 0.848 0.462 0.613
Cl 0.152 0.962 0.887
Cl 0.058 0.242 0.449
Cl 0.942 0.742 0.051
Cl 0.942 0.758 0.551
Cl 0.058 0.258 0.949
Cl 0.288 0.286 0.712
Cl 0.712 0.786 0.788
Cl 0.712 0.714 0.288
Cl 0.288 0.214 0.212
Cl 0.286 0.555 0.123
Cl 0.714 0.055 0.377
Cl 0.714 0.445 0.877
Cl 0.286 0.945 0.623
Cl 0.097 0.896 0.344
Cl 0.903 0.396 0.156
Cl 0.903 0.104 0.656
Cl 0.097 0.604 0.844

=====

This record from the Alexandria database describes an optimized crystal structure of Sc3RuN. The functional is PBEsol.

Output
**Uncorrected formation energy**: 0.82 eV per atom
**DOS at the Fermi energy**: 6.4 states/eV/cell
**Calculated volume**: 22.41 A^3/atom
**Theoretical density**: 3.7 g/cm³

Cell lengths 4.821, 4.821, 4.821 Å; angles 90.00, 90.00, 90.00 degrees
Element x y z (fractional)
Sc 0.000 0.500 0.000
Sc 0.000 0.000 0.500
Sc 0.500 0.000 0.000
Ru 0.000 0.000 0.000
N 0.500 0.500 0.500